Record 1
The following is a PBE calculation of crystalline LiSc2Sb at its relaxed geometry, from Alexandria.

abc: 4.491 4.491 4.221
angles: 90.00 90.00 90.09
Atoms (fractional coordinates):
Li  0.000  0.000  0.000
Sc  0.000  0.500  0.500
Sc  0.500  0.000  0.500
Sb  0.500  0.500  0.000

- total magnetic moment (μB per formula unit) = 1.116
- formation energy (no corrections) (eV per atom) = -0.493

=====

Record 2
The following is a PBE calculation of crystalline LiScSb at its relaxed geometry, from Alexandria.

abc: 3.354 3.354 7.313
angles: 90.00 90.00 120.00
Atoms (fractional coordinates):
Li  0.000  0.000  0.000
Sc  0.333  0.667  0.632
Sb  0.667  0.333  0.311

- total magnetic moment (μB per formula unit) = 0.312
- formation energy (no corrections) (eV per atom) = -0.183

=====

Record 3
The following is a PBE calculation of crystalline LiSc2Sb at its relaxed geometry, from Alexandria.

abc: 10.288 10.288 10.288
angles: 18.47 18.47 18.47
Atoms (fractional coordinates):
Li  0.000  0.000  0.000
Sc  0.240  0.240  0.240
Sc  0.489  0.489  0.489
Sb  0.742  0.742  0.742

- total magnetic moment (μB per formula unit) = 0.704
- formation energy (no corrections) (eV per atom) = -0.171

=====

Record 4
The following is a PBE calculation of crystalline LiSc2Sb at its relaxed geometry, from Alexandria.

abc: 5.249 5.249 5.730
angles: 98.61 98.61 35.84
Atoms (fractional coordinates):
Li  0.000  0.000  0.000
Sc  0.241  0.241  0.741
Sc  0.759  0.759  0.259
Sb  0.500  0.500  0.500

- total magnetic moment (μB per formula unit) = 0.000
- formation energy (no corrections) (eV per atom) = -0.229